A plane-wave DFT calculation with GGA-PBE was carried out for an optimized crystal structure of CdSi2TcRh.

Results
- DFT total energy (eV per cell) = -25.82
- total magnetization (μB per cell) = 3.33
- SG = P4/mmm (123)

Cell lengths 4.4632, 5.3134, 4.4632 Å; angles 90.00, 90.00, 90.00 degrees
Last column: nearest neighbours and their distance in Å.
Positions (direct):
Si1 0.0000 0.0000 0.5000  2 Rh 2.23
Si2 0.5000 0.0000 0.0000  2 Rh 2.23
Rh1 0.0000 0.0000 0.0000  4 Si 2.23
Tc1 0.0000 0.5000 0.0000  2 Rh 2.66
Cd1 0.5000 0.5000 0.5000  4 Tc 3.16, 8 Si 3.47

A plane-wave DFT calculation with GGA-PBE was carried out for an optimized crystal structure of SrAg3Pb3.

Results
- total magnetization (μB per cell) = 0.00
- ΔH_f (0 K) (eV/atom) = -0.138
- SG = R-3m (166)

Cell lengths 7.7096, 7.7096, 8.6224 Å; angles 63.44, 63.44, 60.00 degrees
Last column: nearest neighbours and their distance in Å.
Positions (direct):
Sr1 0.5949 0.5949 0.2154  6 Ag 3.39-3.58, 3 Pb 3.60
Sr2 0.4051 0.4051 0.7846  6 Ag 3.39-3.58, 3 Pb 3.60
Ag1 0.2852 0.2852 0.5209  4 Ag 2.79-2.90, 4 Pb 3.04-3.13
Ag2 0.9088 0.2852 0.5209  4 Ag 2.79-2.90, 4 Pb 3.04-3.13
Ag3 0.2852 0.9088 0.5209  4 Ag 2.79-2.90, 4 Pb 3.04-3.13
Ag4 0.7148 0.0912 0.4791  4 Ag 2.79-2.90, 4 Pb 3.04-3.13
Ag5 0.0912 0.7148 0.4791  4 Ag 2.79-2.90, 4 Pb 3.04-3.13
Ag6 0.7148 0.7148 0.4791  4 Ag 2.79-2.90, 4 Pb 3.04-3.13
Pb1 0.4191 0.8827 0.8154  4 Ag 3.04-3.13
Pb2 0.8827 0.8827 0.8154  4 Ag 3.04-3.13
Pb3 0.8827 0.4191 0.8154  4 Ag 3.04-3.13
Pb4 0.1173 0.5809 0.1846  4 Ag 3.04-3.13
Pb5 0.1173 0.1173 0.1846  4 Ag 3.04-3.13
Pb6 0.5809 0.1173 0.1846  4 Ag 3.04-3.13

A plane-wave DFT calculation with GGA-PBE was carried out for an optimized crystal structure of Ce2Tm2Ge3.

Results
- total magnetization (μB per cell) = 0.78
- ΔH_f (0 K) (eV/atom) = -0.532
- SG = C2/m (12)

Cell lengths 4.2870, 7.0244, 6.9392 Å; angles 99.28, 89.99, 107.77 degrees
Last column: nearest neighbours and their distance in Å.
Positions (direct):
Ce1 0.6222 0.2443 0.8577  5 Ge 2.93-2.96
Ce2 0.3778 0.7557 0.1423  5 Ge 2.93-2.96
Tm1 0.8718 0.7435 0.6270  4 Ge 2.85-2.87
Tm2 0.1282 0.2565 0.3730  4 Ge 2.85-2.87
Ge1 0.0000 0.0000 0.0000  2 Tm 2.85, 4 Ce 2.96
Ge2 0.7454 0.4911 0.2494  3 Tm 2.87, 3 Ce 2.93-2.95
Ge3 0.2546 0.5089 0.7506  3 Tm 2.87, 3 Ce 2.93-2.95

A plane-wave DFT calculation with GGA-PBE was carried out for an optimized crystal structure of Pm4Ho2Tm.

Results
- total magnetization (μB per cell) = 0.00
- ΔH_f (0 K) (eV/atom) = 0.055
- SG = Fdd2 (43)

Cell lengths 12.4927, 12.4927, 6.7721 Å; angles 97.03, 97.03, 150.15 degrees
Last column: nearest neighbours and their distance in Å.
Positions (direct):
Pm1 0.7096 0.1723 0.8594  5 Pm 3.43-3.59, 3 Ho 3.55-3.84, 2 Tm 3.58-3.61
Pm2 0.1723 0.7096 0.3594  5 Pm 3.43-3.59, 3 Ho 3.55-3.84, 2 Tm 3.58-3.61
Pm3 0.1855 0.7955 0.8940  4 Ho 3.41-3.64, 4 Pm 3.43-3.61, 2 Tm 3.66-3.72
Pm4 0.7955 0.1855 0.3940  4 Ho 3.41-3.64, 4 Pm 3.43-3.61, 2 Tm 3.66-3.72
Pm5 0.0416 0.1515 0.6062  4 Ho 3.41-3.64, 4 Pm 3.43-3.61, 2 Tm 3.66-3.71
Pm6 0.5630 0.6004 0.1405  5 Pm 3.43-3.59, 3 Ho 3.55-3.83, 2 Tm 3.58-3.62
Pm7 0.6004 0.5630 0.6405  5 Pm 3.43-3.59, 3 Ho 3.55-3.83, 2 Tm 3.58-3.62
Pm8 0.1515 0.0416 0.1062  4 Ho 3.41-3.64, 4 Pm 3.43-3.61, 2 Tm 3.66-3.71
Ho1 0.6210 0.3017 0.4510  6 Pm 3.41-3.64, 2 Tm 3.45-3.59, 2 Ho 3.67-3.68
Ho2 0.9209 0.1017 0.0497  6 Pm 3.41-3.64, 2 Tm 3.46-3.59, 2 Ho 3.67-3.68
Ho3 0.1017 0.9209 0.5497  6 Pm 3.41-3.64, 2 Tm 3.46-3.59, 2 Ho 3.67-3.68
Ho4 0.3017 0.6210 0.9510  6 Pm 3.41-3.64, 2 Tm 3.45-3.59, 2 Ho 3.67-3.68
Tm1 0.4233 0.6733 0.5006  4 Ho 3.45-3.59, 8 Pm 3.58-3.72
Tm2 0.6733 0.4233 0.0006  4 Ho 3.45-3.59, 8 Pm 3.58-3.72

A plane-wave DFT calculation with GGA-PBE was carried out for an optimized crystal structure of Zn2CuS.

Results
- DFT total energy (eV per cell) = -20.76
- total magnetization (μB per cell) = 0.00
- SG = I-42d (122)

Cell lengths 6.2347, 6.2347, 5.9193 Å; angles 58.22, 58.22, 90.00 degrees
Last column: nearest neighbours and their distance in Å.
Positions (direct):
Zn1 0.6105 0.1250 0.2500  2 S 2.36, 2 Cu 2.47
Zn2 0.1395 0.6250 0.2500  2 S 2.36, 2 Cu 2.47
Zn3 0.3750 0.3895 0.7500  2 S 2.36, 2 Cu 2.47
Zn4 0.8750 0.8605 0.7500  2 S 2.36, 2 Cu 2.47
S1 0.5000 0.5000 0.0000  4 Zn 2.36
S2 0.2500 0.7500 0.5000  4 Zn 2.36
Cu1 0.0000 0.0000 0.0000  4 Zn 2.47
Cu2 0.7500 0.2500 0.5000  4 Zn 2.47

A plane-wave DFT calculation with GGA-PBE was carried out for an optimized crystal structure of La2Mg2S.

Results
- DFT total energy (eV per cell) = -39.89
- total magnetization (μB per cell) = 0.00
- SG = P4/mbm (127)

Cell lengths 7.5601, 7.5601, 5.6085 Å; angles 90.00, 90.00, 90.00 degrees
Last column: nearest neighbours and their distance in Å.
Positions (direct):
S1 0.0000 0.0000 0.0000  4 La 2.83
S2 0.5000 0.5000 0.0000  4 La 2.83
Mg1 0.1419 0.6419 0.5000  1 Mg 3.03
Mg2 0.6419 0.8581 0.5000  1 Mg 3.03
Mg3 0.8581 0.3581 0.5000  1 Mg 3.03
Mg4 0.3581 0.1419 0.5000  1 Mg 3.03
La1 0.3375 0.8375 0.0000  2 S 2.83
La2 0.8375 0.6625 0.0000  2 S 2.83
La3 0.6625 0.1625 0.0000  2 S 2.83
La4 0.1625 0.3375 0.0000  2 S 2.83

A plane-wave DFT calculation with GGA-PBE was carried out for an optimized crystal structure of SrLi2CaP2.

Results
- total magnetization (μB per cell) = 0.00
- ΔH_f (0 K) (eV/atom) = -0.996
- SG = P-3m1 (164)

Cell lengths 4.3335, 4.3335, 7.6571 Å; angles 90.00, 90.00, 120.00 degrees
Last column: nearest neighbours and their distance in Å.
Positions (direct):
Sr1 0.0000 0.0000 0.0000  6 P 3.23, 6 Li 3.32
Li1 0.3333 0.6667 0.7146  3 P 2.51
Li2 0.6667 0.3333 0.2854  3 P 2.51
Ca1 0.0000 0.0000 0.5000  6 Li 2.99, 6 P 3.07
P1 0.3333 0.6667 0.2669  3 Li 2.51
P2 0.6667 0.3333 0.7331  3 Li 2.51

A plane-wave DFT calculation with GGA-PBE was carried out for an optimized crystal structure of CsGeH6.

Results
- DFT total energy (eV per cell) = -24.58
- total magnetization (μB per cell) = 0.00
- SG = R-3m (166)

Cell lengths 6.1602, 6.1602, 5.1278 Å; angles 53.08, 53.08, 60.00 degrees
Last column: nearest neighbours and their distance in Å.
Positions (direct):
Cs1 0.5000 0.5000 0.5000  12 H 3.11
Ge1 0.0000 0.0000 0.0000  6 H 2.13
H1 0.9923 0.9923 0.5963  1 H 0.88
H2 0.4192 0.9923 0.5963  1 H 0.88
H3 0.0077 0.5808 0.4037  1 H 0.88
H4 0.5808 0.0077 0.4037  1 H 0.88
H5 0.0077 0.0077 0.4037  1 H 0.88
H6 0.9923 0.4192 0.5963  1 H 0.88

Q: Look up the total magnetization of the first one.
A: 3.33 μB per cell

Repeat the second record exactly.
A plane-wave DFT calculation with GGA-PBE was carried out for an optimized crystal structure of SrAg3Pb3.

Results
- total magnetization (μB per cell) = 0.00
- ΔH_f (0 K) (eV/atom) = -0.138
- SG = R-3m (166)

Cell lengths 7.7096, 7.7096, 8.6224 Å; angles 63.44, 63.44, 60.00 degrees
Last column: nearest neighbours and their distance in Å.
Positions (direct):
Sr1 0.5949 0.5949 0.2154  6 Ag 3.39-3.58, 3 Pb 3.60
Sr2 0.4051 0.4051 0.7846  6 Ag 3.39-3.58, 3 Pb 3.60
Ag1 0.2852 0.2852 0.5209  4 Ag 2.79-2.90, 4 Pb 3.04-3.13
Ag2 0.9088 0.2852 0.5209  4 Ag 2.79-2.90, 4 Pb 3.04-3.13
Ag3 0.2852 0.9088 0.5209  4 Ag 2.79-2.90, 4 Pb 3.04-3.13
Ag4 0.7148 0.0912 0.4791  4 Ag 2.79-2.90, 4 Pb 3.04-3.13
Ag5 0.0912 0.7148 0.4791  4 Ag 2.79-2.90, 4 Pb 3.04-3.13
Ag6 0.7148 0.7148 0.4791  4 Ag 2.79-2.90, 4 Pb 3.04-3.13
Pb1 0.4191 0.8827 0.8154  4 Ag 3.04-3.13
Pb2 0.8827 0.8827 0.8154  4 Ag 3.04-3.13
Pb3 0.8827 0.4191 0.8154  4 Ag 3.04-3.13
Pb4 0.1173 0.5809 0.1846  4 Ag 3.04-3.13
Pb5 0.1173 0.1173 0.1846  4 Ag 3.04-3.13
Pb6 0.5809 0.1173 0.1846  4 Ag 3.04-3.13

Q: Look up the total magnetization of the eighth one.
A: 0.00 μB per cell

Q: What is the total magnetization in the third record?
A: 0.78 μB per cell